# 1
This record from the Alexandria database describes a relaxed K2ReBiB crystal. The functional is GGA-PBE.

## Properties
Magnetic moment: 2.335 μB per cell
Volume: 29.7 Å³/atom
ΔH_f (0 K): 0.987 eV per atom
Total energy: -20.269 eV for the cell shown

Lattice parameters (Å, degrees): 5.9989 4.1313 5.9989 90.00 90.00 90.00
Closest atoms and distances in Å follow each position.
Fractional positions:
Re  0.0000  0.5000  0.0000  2 B 2.07
K  0.0000  0.0000  0.5000  2 B 3.00
K  0.5000  0.0000  0.0000  2 B 3.00
B  0.0000  0.0000  0.0000  2 Re 2.07
Bi  0.5000  0.5000  0.5000  8 K 3.64

---

# 2
This record from the Alexandria database describes a relaxed Tm3Sc2Ru2 crystal. The functional is GGA-PBE.

## Properties
Magnetic moment: 0.000 μB per cell
Volume: 23.1 Å³/atom
ΔH_f (0 K): -0.369 eV per atom
Total energy: -47.213 eV for the cell shown

Lattice parameters (Å, degrees): 3.7218 6.0627 8.1852 111.99 90.00 107.87
Closest atoms and distances in Å follow each position.
Fractional positions:
Tm  0.5000  0.0000  0.0000  4 Ru 2.87
Tm  0.6191  0.2381  0.4337  3 Ru 2.86-2.87
Tm  0.3809  0.7619  0.5663  3 Ru 2.86-2.87
Sc  0.8310  0.6621  0.1783  2 Ru 2.61
Sc  0.1690  0.3379  0.8217  2 Ru 2.61
Ru  0.8147  0.6294  0.7818  2 Sc 2.61, 5 Tm 2.86-2.87
Ru  0.1853  0.3706  0.2182  2 Sc 2.61, 5 Tm 2.86-2.87

---

# 3
This record from the Alexandria database describes a relaxed Sc3PSe crystal. The functional is GGA-PBE.

## Properties
Magnetic moment: 0.001 μB per cell
Volume: 23.4 Å³/atom
Raw formation energy: -636 meV/atom
Total energy: -31.071 eV for the cell shown
Polymorph energy (0 for the lowest one): 0.5327 eV per atom

Lattice parameters (Å, degrees): 4.8929 4.8929 4.8929 90.00 90.00 90.00
Closest atoms and distances in Å follow each position.
Fractional positions:
Sc  0.0000  0.5000  0.0000  2 P 2.45
Sc  0.0000  0.0000  0.5000  2 P 2.45
Sc  0.5000  0.0000  0.0000  2 P 2.45
P  0.0000  0.0000  0.0000  6 Sc 2.45
Se  0.5000  0.5000  0.5000  12 Sc 3.46

---

# 4
This record from the Alexandria database describes a relaxed LaCr2Ni crystal. The functional is GGA-PBE.

## Properties
Magnetic moment: 0.002 μB per cell
Volume: 14.9 Å³/atom
ΔH_f (0 K): 0.776 eV per atom
Total energy: -26.850 eV for the cell shown
Polymorph energy (0 for the lowest one): 0.5333 eV per atom

Lattice parameters (Å, degrees): 4.3851 4.3851 4.3851 60.00 60.00 60.00
Closest atoms and distances in Å follow each position.
Fractional positions:
Ni  0.0000  0.0000  0.0000  8 Cr 2.69
Cr  0.2500  0.2500  0.2500  4 La 2.69, 4 Ni 2.69
Cr  0.7500  0.7500  0.7500  4 Ni 2.69, 4 La 2.69
La  0.5000  0.5000  0.5000  8 Cr 2.69

---

# 5
This record from the Alexandria database describes a relaxed AcAlV crystal. The functional is GGA-PBE.

## Properties
Magnetic moment: 0.000 μB per cell
Volume: 24.5 Å³/atom
ΔH_f (0 K): 0.236 eV per atom
Total energy: -32.524 eV for the cell shown

Lattice parameters (Å, degrees): 5.2206 5.2206 5.4070 90.05 90.05 93.78
Closest atoms and distances in Å follow each position.
Fractional positions:
Al  0.7333  0.7333  0.3014  1 Al 2.50, 2 V 2.63
Al  0.3831  0.3831  0.3020  1 Al 2.50, 2 V 2.63
V  0.8947  0.2215  0.3018  1 V 2.49, 2 Al 2.63
V  0.2215  0.8947  0.3018  1 V 2.49, 2 Al 2.63
Ac  0.5580  0.0580  0.8017  4 V 3.30-3.31, 4 Al 3.35, 2 Ac 3.57
Ac  0.0580  0.5580  0.8017  4 V 3.30-3.31, 4 Al 3.35, 2 Ac 3.57

---

# 6
This record from the Alexandria database describes a relaxed DyScAgPd crystal. The functional is GGA-PBE.

## Properties
Magnetic moment: 0.000 μB per cell
Volume: 21.0 Å³/atom
ΔH_f (0 K): -0.561 eV per atom
Total energy: -21.222 eV for the cell shown
Polymorph energy (0 for the lowest one): 0.0222 eV per atom

Lattice parameters (Å, degrees): 4.9157 4.9157 4.9157 60.00 60.00 60.00
Closest atoms and distances in Å follow each position.
Fractional positions:
Sc  0.5000  0.5000  0.5000  4 Pd 3.01, 4 Ag 3.01
Pd  0.7500  0.7500  0.7500  4 Sc 3.01, 4 Dy 3.01
Ag  0.2500  0.2500  0.2500  4 Sc 3.01, 4 Dy 3.01
Dy  0.0000  0.0000  0.0000  4 Pd 3.01, 4 Ag 3.01